A plane-wave DFT calculation with GGA-PBE was carried out for a relaxed DyEr2Os crystal.

Cell lengths 3.3757, 3.3757, 9.1257 Å; angles 90.00, 90.00, 90.00 degrees
With the nearest neighbours (Å) after each atom.
Fractional coordinates of all 4 atoms:
Dy 0.5000 0.5000 0.5000  4 Dy 3.38, 8 Er 3.77
Os 0.5000 0.5000 0.0000  8 Er 2.90
Er 0.0000 0.0000 0.8197  4 Os 2.90
Er 0.0000 0.0000 0.1803  4 Os 2.90

As for the space group: P4/mmm, No. 123. The density of states at the Fermi level comes out at 3.1 states/eV/cell. The value obtained for the total energy is -25.5 eV for the cell shown. As for the offset from the most stable computed form: 137.1 meV per atom. The formation energy comes out at -0.1463 eV/atom.